[1]
Entry from Alexandria via LeMat-Bulk: Be3SnW at its PBEsol-relaxed geometry (SCAN). Values from VASP.

Properties
DOS at the Fermi energy: 3.1 states/eV per cell
volume: 16.3 A^3/atom
energy of formation: 2.00 eV/atom

```
&SYSTEM
  ibrav = 0, nat = 5, ntyp = 3
/
ATOMIC_SPECIES
Be 9.01 Be.upf
Sn 118.71 Sn.upf
W 183.84 W.upf
CELL_PARAMETERS angstrom
-1.561 2.576 -3.119
1.650 -2.646 -3.012
-3.693 -2.271 -0.028
ATOMIC_POSITIONS crystal
Be 0.000 0.500 0.000
Be 0.000 0.000 0.500
Be 0.500 0.000 0.000
Sn 0.000 0.000 0.000
W 0.500 0.500 0.500
```



[2]
Entry from Alexandria via LeMat-Bulk: LaTe2SN at its PBEsol-relaxed geometry (SCAN). Values from VASP.

Properties
DOS at the Fermi energy: 4.4 states/eV per cell
ΔE_f (raw): 58.9 kJ per mole of atoms
volume: 31.0 A^3/atom

```
&SYSTEM
  ibrav = 0, nat = 5, ntyp = 4
/
ATOMIC_SPECIES
N 14.01 N.upf
S 32.06 S.upf
Te 127.60 Te.upf
La 138.91 La.upf
CELL_PARAMETERS angstrom
-3.341 -1.366 -1.742
-0.276 -4.619 4.152
-3.423 3.581 3.756
ATOMIC_POSITIONS crystal
N 0.500 0.000 0.000
S 0.500 0.500 0.500
Te 0.000 0.000 0.500
Te 0.000 0.500 0.000
La 0.000 0.000 0.000
```



[3]
Entry from Alexandria via LeMat-Bulk: GeBiSeBr2 at its PBEsol-relaxed geometry (SCAN). Values from VASP.

Properties
DOS at the Fermi energy: 3.4 states/eV per cell
ΔE_f (raw): 9.0 kJ per mole of atoms
volume: 26.9 A^3/atom

```
&SYSTEM
  ibrav = 0, nat = 5, ntyp = 4
/
ATOMIC_SPECIES
Ge 72.64 Ge.upf
Se 78.96 Se.upf
Bi 208.98 Bi.upf
Br 79.90 Br.upf
CELL_PARAMETERS angstrom
5.087 0.000 0.000
0.000 5.087 0.000
0.000 0.000 5.198
ATOMIC_POSITIONS crystal
Ge 0.000 0.000 0.000
Se 0.000 0.000 0.500
Bi 0.500 0.500 0.500
Br 0.000 0.500 0.000
Br 0.500 0.000 0.000
```



[4]
Entry from Alexandria via LeMat-Bulk: LaTaZnIr2 at its PBEsol-relaxed geometry (SCAN). Values from VASP.

Properties
DOS at the Fermi energy: 3.8 states/eV per cell
volume: 22.4 A^3/atom
energy of formation: 0.17 eV/atom

```
&SYSTEM
  ibrav = 0, nat = 5, ntyp = 4
/
ATOMIC_SPECIES
Zn 65.41 Zn.upf
Ir 192.22 Ir.upf
La 138.91 La.upf
Ta 180.95 Ta.upf
CELL_PARAMETERS angstrom
-2.629 -3.926 0.822
3.902 -2.730 -0.562
0.943 0.366 4.762
ATOMIC_POSITIONS crystal
Zn 0.000 0.000 0.500
Ir 0.000 0.500 0.000
Ir 0.500 0.000 0.000
La 0.500 0.500 0.500
Ta 0.000 0.000 0.000
```